[1]
A geometry-optimized LiTbPr2Se5 structure. Source: Alexandria via LeMat-Bulk, functional PBE-GGA.

abc: 4.172 8.946 12.520
angles: 90.00 90.00 103.48
Atoms (fractional coordinates):
Li 0.514 0.028 0.982
Li 0.486 0.972 0.482
Tb 0.803 0.606 0.502
Tb 0.197 0.394 0.002
Pr 0.875 0.750 0.797
Pr 0.108 0.216 0.685
Pr 0.125 0.250 0.297
Pr 0.892 0.784 0.185
Se 0.362 0.724 0.998
Se 0.692 0.385 0.843
Se 0.501 0.002 0.784
Se 0.286 0.572 0.661
Se 0.953 0.906 0.571
Se 0.638 0.276 0.498
Se 0.308 0.615 0.343
Se 0.499 0.998 0.284
Se 0.714 0.428 0.161
Se 0.047 0.094 0.071

---

[2]
A geometry-optimized Li2TbPrSe4 structure. Source: Alexandria via LeMat-Bulk, functional PBE-GGA.

abc: 4.165 7.215 6.950
angles: 110.19 90.00 90.00
Atoms (fractional coordinates):
Li 0.500 0.000 0.500
Li 0.000 0.500 0.500
Tb 0.500 0.500 0.000
Pr 0.000 0.000 0.000
Se 0.500 0.261 0.259
Se 0.500 0.739 0.741
Se 0.000 0.256 0.745
Se 0.000 0.744 0.255

---

[3]
A geometry-optimized Li3Pr2ThSe6 structure. Source: Alexandria via LeMat-Bulk, functional PBE-GGA.

The density of states at the Fermi level is 3.844 states/eV per cell.

abc: 7.257 7.257 6.998
angles: 99.96 99.96 120.01
Atoms (fractional coordinates):
Li 0.167 0.833 0.500
Li 0.833 0.167 0.500
Li 0.500 0.500 0.500
Pr 0.333 0.667 0.000
Pr 0.667 0.333 0.000
Th 0.000 0.000 0.000
Se 0.911 0.585 0.734
Se 0.761 0.761 0.263
Se 0.089 0.415 0.266
Se 0.585 0.911 0.734
Se 0.239 0.239 0.737
Se 0.415 0.089 0.266

---

[4]
A geometry-optimized LiPrThSe3 structure. Source: Alexandria via LeMat-Bulk, functional PBE-GGA.

The density of states at the Fermi level is 3.475 states/eV per cell.

abc: 4.041 8.768 8.914
angles: 104.26 90.00 90.00
Atoms (fractional coordinates):
Li 0.250 0.085 0.587
Li 0.750 0.915 0.413
Pr 0.750 0.806 0.774
Pr 0.250 0.194 0.226
Th 0.250 0.652 0.146
Th 0.750 0.348 0.854
Se 0.250 0.787 0.495
Se 0.750 0.905 0.129
Se 0.750 0.432 0.207
Se 0.750 0.213 0.505
Se 0.250 0.568 0.793
Se 0.250 0.095 0.871

---

[5]
A geometry-optimized LiPrTh2Se5 structure. Source: Alexandria via LeMat-Bulk, functional PBE-GGA.

The density of states at the Fermi level is 10.061 states/eV per cell.

abc: 4.088 8.940 12.707
angles: 90.00 90.00 103.22
Atoms (fractional coordinates):
Li 0.505 0.010 0.988
Li 0.495 0.990 0.488
Pr 0.811 0.622 0.495
Pr 0.189 0.378 0.995
Th 0.875 0.750 0.798
Th 0.116 0.231 0.680
Th 0.125 0.250 0.298
Th 0.884 0.769 0.180
Se 0.360 0.719 0.998
Se 0.696 0.391 0.827
Se 0.504 0.009 0.793
Se 0.296 0.591 0.663
Se 0.963 0.926 0.582
Se 0.640 0.281 0.498
Se 0.304 0.609 0.327
Se 0.496 0.991 0.293
Se 0.704 0.409 0.163
Se 0.037 0.074 0.082

---

[6]
A geometry-optimized LiPr4Th3Se8 structure. Source: Alexandria via LeMat-Bulk, functional PBE-GGA.

The density of states at the Fermi level is 7.925 states/eV per cell.

abc: 8.426 8.423 8.427
angles: 120.01 120.00 90.00
Atoms (fractional coordinates):
Li 0.000 0.500 0.000
Pr 0.500 0.000 0.000
Pr 0.500 0.000 0.500
Pr 0.000 0.000 0.000
Pr 0.000 0.000 0.500
Th 0.500 0.500 0.000
Th 0.500 0.500 0.500
Th 0.000 0.500 0.500
Se 0.240 0.737 0.997
Se 0.240 0.737 0.480
Se 0.251 0.252 0.501
Se 0.757 0.737 0.997
Se 0.243 0.263 0.003
Se 0.749 0.748 0.499
Se 0.760 0.263 0.520
Se 0.760 0.263 0.003

---

[7]
A geometry-optimized LiPr2ThSe4 structure. Source: Alexandria via LeMat-Bulk, functional PBE-GGA.

The density of states at the Fermi level is 4.318 states/eV per cell.

abc: 4.190 7.261 7.246
angles: 109.12 90.00 90.00
Atoms (fractional coordinates):
Li 0.000 0.000 0.000
Pr 0.500 0.000 0.500
Pr 0.000 0.500 0.500
Th 0.500 0.500 0.000
Se 0.500 0.239 0.234
Se 0.500 0.761 0.766
Se 0.000 0.242 0.764
Se 0.000 0.758 0.236

---

[8]
A geometry-optimized LiPr2ThSe5 structure. Source: Alexandria via LeMat-Bulk, functional PBE-GGA.

The density of states at the Fermi level is 2.773 states/eV per cell.

abc: 4.162 9.034 12.714
angles: 90.00 90.00 103.32
Atoms (fractional coordinates):
Li 0.511 0.021 0.977
Li 0.489 0.979 0.477
Pr 0.875 0.750 0.798
Pr 0.110 0.221 0.687
Pr 0.125 0.250 0.298
Pr 0.890 0.779 0.187
Th 0.804 0.608 0.503
Th 0.196 0.392 0.003
Se 0.362 0.724 0.000
Se 0.690 0.379 0.840
Se 0.500 0.999 0.784
Se 0.289 0.578 0.667
Se 0.956 0.912 0.569
Se 0.638 0.276 0.500
Se 0.310 0.621 0.340
Se 0.500 0.001 0.284
Se 0.711 0.422 0.167
Se 0.044 0.088 0.069

---

[9]
A geometry-optimized LiPr3Th2Se6 structure. Source: Alexandria via LeMat-Bulk, functional PBE-GGA.

The density of states at the Fermi level is 4.807 states/eV per cell.

abc: 7.296 7.296 7.269
angles: 99.70 99.70 120.37
Atoms (fractional coordinates):
Li 0.000 0.000 0.000
Pr 0.170 0.830 0.500
Pr 0.830 0.170 0.500
Pr 0.500 0.500 0.500
Th 0.334 0.666 0.000
Th 0.666 0.334 0.000
Se 0.922 0.603 0.764
Se 0.760 0.760 0.237
Se 0.078 0.397 0.236
Se 0.603 0.922 0.764
Se 0.240 0.240 0.763
Se 0.397 0.078 0.236

---

[10]
A geometry-optimized Li3Pr3TiSe8 structure. Source: Alexandria via LeMat-Bulk, functional PBE-GGA.

abc: 8.305 8.304 8.057
angles: 121.04 90.00 120.00
Atoms (fractional coordinates):
Li 0.000 0.000 0.000
Li 0.000 0.500 0.000
Li 0.500 0.500 0.000
Pr 0.500 0.000 0.500
Pr 0.500 0.500 0.500
Pr 0.000 0.500 0.500
Ti 0.000 0.000 0.500
Se 0.245 0.489 0.234
Se 0.755 0.511 0.766
Se 0.772 0.543 0.259
Se 0.228 0.457 0.741
Se 0.772 0.987 0.259
Se 0.228 0.013 0.741
Se 0.216 0.987 0.259
Se 0.784 0.013 0.741

---

[11]
A geometry-optimized LiPr2TmSe4 structure. Source: Alexandria via LeMat-Bulk, functional PBE-GGA.

The density of states at the Fermi level is 2.840 states/eV per cell.

abc: 4.126 7.120 7.199
angles: 109.20 90.00 90.00
Atoms (fractional coordinates):
Li 0.500 0.500 0.000
Pr 0.500 0.000 0.500
Pr 0.000 0.500 0.500
Tm 0.000 0.000 0.000
Se 0.500 0.246 0.227
Se 0.500 0.754 0.773
Se 0.000 0.258 0.772
Se 0.000 0.742 0.228

---

[12]
A geometry-optimized LiPr3Tm3Se8 structure. Source: Alexandria via LeMat-Bulk, functional PBE-GGA.

The density of states at the Fermi level is 4.622 states/eV per cell.

abc: 8.178 8.178 8.280
angles: 119.59 90.00 120.00
Atoms (fractional coordinates):
Li 0.000 0.000 0.500
Pr 0.000 0.000 0.000
Pr 0.000 0.500 0.000
Pr 0.500 0.500 0.000
Tm 0.500 0.000 0.500
Tm 0.500 0.500 0.500
Tm 0.000 0.500 0.500
Se 0.256 0.513 0.269
Se 0.744 0.487 0.731
Se 0.754 0.509 0.267
Se 0.246 0.491 0.733
Se 0.754 0.013 0.267
Se 0.246 0.987 0.733
Se 0.259 0.013 0.267
Se 0.741 0.987 0.733

---

[13]
A geometry-optimized LiPr3Tm2Se6 structure. Source: Alexandria via LeMat-Bulk, functional PBE-GGA.

The density of states at the Fermi level is 5.210 states/eV per cell.

abc: 7.080 7.080 7.291
angles: 99.33 99.33 120.09
Atoms (fractional coordinates):
Li 0.000 0.000 0.000
Pr 0.165 0.835 0.500
Pr 0.835 0.165 0.500
Pr 0.500 0.500 0.500
Tm 0.335 0.665 0.000
Tm 0.665 0.335 0.000
Se 0.925 0.596 0.773
Se 0.747 0.747 0.224
Se 0.075 0.404 0.227
Se 0.596 0.925 0.773
Se 0.253 0.253 0.776
Se 0.404 0.075 0.227

---

[14]
A geometry-optimized Li3Pr2TmSe6 structure. Source: Alexandria via LeMat-Bulk, functional PBE-GGA.

The density of states at the Fermi level is 0.000 states/eV per cell.

abc: 7.227 7.227 6.947
angles: 99.89 99.89 120.06
Atoms (fractional coordinates):
Li 0.160 0.840 0.500
Li 0.840 0.160 0.500
Li 0.500 0.500 0.500
Pr 0.333 0.667 0.000
Pr 0.667 0.333 0.000
Tm 0.000 0.000 0.000
Se 0.914 0.594 0.742
Se 0.764 0.764 0.255
Se 0.086 0.406 0.258
Se 0.594 0.914 0.742
Se 0.236 0.236 0.745
Se 0.406 0.086 0.258

---

[15]
A geometry-optimized LiPrTmSe3 structure. Source: Alexandria via LeMat-Bulk, functional PBE-GGA.

The density of states at the Fermi level is 4.046 states/eV per cell.

abc: 4.015 8.439 8.853
angles: 103.50 90.00 90.00
Atoms (fractional coordinates):
Li 0.250 0.086 0.585
Li 0.750 0.914 0.415
Pr 0.250 0.192 0.229
Pr 0.750 0.808 0.771
Tm 0.250 0.668 0.162
Tm 0.750 0.332 0.838
Se 0.750 0.901 0.130
Se 0.250 0.099 0.870
Se 0.250 0.776 0.495
Se 0.750 0.224 0.505
Se 0.750 0.438 0.171
Se 0.250 0.562 0.829

---

[16]
A geometry-optimized Li2PrTmSe4 structure. Source: Alexandria via LeMat-Bulk, functional PBE-GGA.

The density of states at the Fermi level is 0.000 states/eV per cell.

abc: 4.131 7.161 6.937
angles: 110.09 90.00 90.00
Atoms (fractional coordinates):
Li 0.500 0.000 0.500
Li 0.000 0.500 0.500
Pr 0.000 0.000 0.000
Tm 0.500 0.500 0.000
Se 0.500 0.265 0.258
Se 0.500 0.735 0.742
Se 0.000 0.261 0.747
Se 0.000 0.739 0.253

---

[17]
A geometry-optimized LiPr4Tm3Se8 structure. Source: Alexandria via LeMat-Bulk, functional PBE-GGA.

The density of states at the Fermi level is 7.733 states/eV per cell.

abc: 8.157 8.390 8.157
angles: 119.09 120.00 90.00
Atoms (fractional coordinates):
Li 0.000 0.500 0.000
Pr 0.500 0.000 0.000
Pr 0.500 0.000 0.500
Pr 0.000 0.000 0.000
Pr 0.000 0.000 0.500
Tm 0.500 0.500 0.000
Tm 0.500 0.500 0.500
Tm 0.000 0.500 0.500
Se 0.239 0.724 0.985
Se 0.239 0.724 0.479
Se 0.257 0.272 0.515
Se 0.746 0.724 0.985
Se 0.254 0.276 0.015
Se 0.743 0.728 0.485
Se 0.761 0.276 0.521
Se 0.761 0.276 0.015

---

[18]
A geometry-optimized LiPrU2Se4 structure. Source: Alexandria via LeMat-Bulk, functional PBE-GGA.

The density of states at the Fermi level is 10.177 states/eV per cell.

abc: 4.041 7.003 7.346
angles: 108.59 90.00 90.00
Each line ends with the local moment (μB).
Atoms (fractional coordinates):
Li 0.500 0.500 0.000  0.00
Pr 0.000 0.000 0.000  -0.03
U 0.500 0.000 0.500  -2.79
U 0.000 0.500 0.500  -2.59
Se 0.500 0.263 0.252  0.04
Se 0.500 0.737 0.748  0.04
Se 0.000 0.262 0.755  0.04
Se 0.000 0.738 0.245  0.04

---

[19]
A geometry-optimized Li3Pr3USe8 structure. Source: Alexandria via LeMat-Bulk, functional PBE-GGA.

The density of states at the Fermi level is 5.508 states/eV per cell.

abc: 8.481 8.480 8.136
angles: 121.43 90.00 120.00
Each line ends with the local moment (μB).
Atoms (fractional coordinates):
Li 0.000 0.000 0.000  0.00
Li 0.000 0.500 0.000  0.00
Li 0.500 0.500 0.000  0.00
Pr 0.500 0.000 0.500  0.02
Pr 0.500 0.500 0.500  0.02
Pr 0.000 0.500 0.500  0.02
U 0.000 0.000 0.500  2.02
Se 0.246 0.492 0.239  0.00
Se 0.754 0.508 0.761  0.00
Se 0.758 0.516 0.250  -0.03
Se 0.242 0.484 0.750  -0.03
Se 0.758 0.992 0.250  -0.03
Se 0.242 0.008 0.750  -0.03
Se 0.234 0.992 0.250  -0.03
Se 0.766 0.008 0.750  -0.03

---

[20]
A geometry-optimized Li2PrUSe4 structure. Source: Alexandria via LeMat-Bulk, functional PBE-GGA.

The density of states at the Fermi level is 6.952 states/eV per cell.

abc: 4.142 7.192 6.978
angles: 110.08 90.00 90.00
Each line ends with the local moment (μB).
Atoms (fractional coordinates):
Li 0.500 0.000 0.500  0.00
Li 0.000 0.500 0.500  0.00
Pr 0.500 0.500 0.000  0.11
U 0.000 0.000 0.000  2.60
Se 0.500 0.245 0.259  -0.04
Se 0.500 0.755 0.741  -0.04
Se 0.000 0.237 0.738  -0.02
Se 0.000 0.763 0.262  -0.02

---

Results for ΔE_f (raw): -1.762; -1.670; -1.601; -1.568; -1.589; -1.685; -1.681; -1.690; -1.690; -1.511; -1.741; -1.781; -1.760; -1.661; -1.660; -1.663; -1.759; -1.285; -1.541; -1.399 (in eV/atom, following the order of the records).